[1]
The following is a DFT calculation (PBE) of crystalline Cs4Na2H at its relaxed geometry.

abc: 12.295 12.295 12.295
angles: 150.08 150.08 42.82
Atoms (fractional coordinates):
Cs1 0.000 0.500 0.500
Cs2 0.165 0.165 0.000
Cs3 0.500 0.000 0.500
Cs4 0.835 0.835 0.000
Na1 0.358 0.358 0.000
Na2 0.642 0.642 0.000
H1 0.000 0.000 0.000

Properties
Its total DFT energy (no corrections) is -1.337 eV per atom. The value obtained for the total magnetization is 0.000 μB/f.u. As for the space group: No. 139.



[2]
The following is a DFT calculation (PBE) of crystalline CePrGe2Rh5 at its relaxed geometry.

abc: 4.237 4.237 9.047
angles: 90.00 90.00 90.00
Atoms (fractional coordinates):
Ce1 0.000 0.000 0.000
Pr1 0.000 0.000 0.500
Ge1 0.500 0.500 0.141
Ge2 0.500 0.500 0.859
Rh1 0.000 0.500 0.265
Rh2 0.000 0.500 0.735
Rh3 0.500 0.000 0.265
Rh4 0.500 0.000 0.735
Rh5 0.500 0.500 0.500

Properties
The value obtained for the formation energy is -691 meV/atom. Its total DFT energy (no corrections) is -6.992 eV per atom. The value obtained for the total magnetization is 0.123 μB/f.u. As for the space group: No. 123.



[3]
The following is a DFT calculation (PBE) of crystalline Th2Ga3Ir5 at its relaxed geometry.

abc: 12.977 12.977 6.902
angles: 90.00 90.00 161.39
Atoms (fractional coordinates):
Th1 0.020 0.980 0.500
Th2 0.337 0.663 0.024
Th3 0.663 0.337 0.524
Th4 0.980 0.020 0.000
Ga1 0.109 0.891 0.167
Ga2 0.260 0.740 0.521
Ga3 0.445 0.555 0.311
Ga4 0.555 0.445 0.811
Ga5 0.740 0.260 0.021
Ga6 0.891 0.109 0.667
Ir1 0.107 0.893 0.769
Ir2 0.208 0.792 0.221
Ir3 0.212 0.788 0.824
Ir4 0.355 0.645 0.508
Ir5 0.454 0.546 0.712
Ir6 0.546 0.454 0.212
Ir7 0.645 0.355 0.008
Ir8 0.788 0.212 0.324
Ir9 0.792 0.208 0.721
Ir10 0.893 0.107 0.269

Properties
The value obtained for the formation energy is -659 meV/atom. Its total DFT energy (no corrections) is -7.482 eV per atom. The value obtained for the total magnetization is 0.000 μB/f.u. As for the space group: No. 36.



[4]
The following is a DFT calculation (PBE) of crystalline ScGaFe at its relaxed geometry.

abc: 5.140 5.140 5.140
angles: 144.41 144.41 51.21
Atoms (fractional coordinates):
Sc1 0.000 0.000 0.000
Ga1 0.299 0.299 0.000
Fe1 0.668 0.668 0.000

Properties
The value obtained for the formation energy is -294 meV/atom. Its total DFT energy (no corrections) is -6.235 eV per atom. The value obtained for the total magnetization is 0.000 μB/f.u. As for the space group: No. 107.



total DFT energy (no corrections) of number 4 (ScGaFe)? -6.235 eV per atom